# UPa2Ge PBE optimized geometry
data_UPa2Ge
_space_group_name_H-M_alt 'R 3 m'
_space_group_IT_number 160
_space_group_name_Hall 'R 3 -2"'
_cell_length_a 3.8950
_cell_length_b 3.8950
_cell_length_c 20.8736
_cell_angle_alpha 90.00
_cell_angle_beta 90.00
_cell_angle_gamma 120.00
loop_
_atom_site_label
_atom_site_fract_x
_atom_site_fract_y
_atom_site_fract_z
U1 0.0000 0.0000 0.0000
Pa1 0.0000 0.0000 0.5850
Pa2 0.0000 0.0000 0.7388
Ge1 0.0000 0.0000 0.1610
# Energy above the most stable polymorph in this dataset in meV/atom: 398
# ΔH_f (0 K) in kJ/mol of formula units: 60
# Raw total energy in eV per atom: -8.569

# ErTm2Fe9 PBE optimized geometry
data_ErTm2Fe9
_space_group_name_H-M_alt 'R -3 m'
_space_group_IT_number 166
_space_group_name_Hall '-R 3 2"'
_cell_length_a 5.0453
_cell_length_b 5.0453
_cell_length_c 24.0378
_cell_angle_alpha 90.00
_cell_angle_beta 90.00
_cell_angle_gamma 120.00
loop_
_atom_site_label
_atom_site_fract_x
_atom_site_fract_y
_atom_site_fract_z
Er1 0.0000 0.0000 0.0000
Tm1 0.0000 0.0000 0.1420
Fe1 0.0000 0.0000 0.3329
Fe2 0.0000 0.0000 0.5000
Fe3 0.0007 0.5003 0.9180
# ΔH_f (0 K) in kJ/mol of formula units: -130
# Raw total energy in eV per atom: -7.585

# Pr6GaCo2 PBE optimized geometry
data_Pr6GaCo2
_space_group_name_H-M_alt 'I m m m'
_space_group_IT_number 71
_space_group_name_Hall '-I 2 2'
_cell_length_a 9.6099
_cell_length_b 10.0476
_cell_length_c 10.2548
_cell_angle_alpha 90.00
_cell_angle_beta 90.00
_cell_angle_gamma 90.00
loop_
_atom_site_label
_atom_site_fract_x
_atom_site_fract_y
_atom_site_fract_z
Pr1 0.0000 0.1952 0.2370
Pr2 0.1856 0.5000 0.1742
Pr3 0.2183 0.3198 0.5000
Ga1 0.0000 0.0000 0.0000
Ga2 0.0000 0.0000 0.5000
Co1 0.0000 0.3341 0.0000
Co2 0.0000 0.5000 0.3893
# ΔH_f (0 K) in kJ/mol of formula units: -140
# Raw total energy in eV per atom: -5.263

# Li2HgAs PBE optimized geometry
data_Li2HgAs
_space_group_name_H-M_alt 'P m m 2'
_space_group_IT_number 25
_cell_length_a 3.0798
_cell_length_b 4.6826
_cell_length_c 4.8139
_cell_angle_alpha 90.00
_cell_angle_beta 90.00
_cell_angle_gamma 90.00
loop_
_space_group_symop_operation_xyz
'x,y,z'
'-x,-y,z'
'-x,y,z'
'x,-y,z'
loop_
_atom_site_label
_atom_site_fract_x
_atom_site_fract_y
_atom_site_fract_z
Li1 0.0000 0.0000 0.0000
Li2 0.0000 0.5000 0.4083
Hg1 0.5000 0.0000 0.4990
As1 0.5000 0.5000 0.9170
# ΔH_f (0 K) in kJ/mol of formula units: -166
# Raw total energy in eV per atom: -2.624

# BaSiMo2 PBE optimized geometry
data_BaSiMo2
_space_group_name_H-M_alt 'I m m m'
_space_group_IT_number 71
_space_group_name_Hall '-I 2 2'
_cell_length_a 2.8208
_cell_length_b 5.5005
_cell_length_c 10.7243
_cell_angle_alpha 90.00
_cell_angle_beta 90.00
_cell_angle_gamma 90.00
loop_
_atom_site_label
_atom_site_fract_x
_atom_site_fract_y
_atom_site_fract_z
Ba1 0.0000 0.0000 0.0000
Si1 0.0000 0.0000 0.5000
Mo1 0.0000 0.5000 0.2022
# ΔE_f (raw) in eV per atom: 0.772
# Raw total energy in eV per atom: -6.480

# La6CeSm2Er PBE optimized geometry
data_La6CeSm2Er
_space_group_name_H-M_alt 'C 1 2/m 1'
_space_group_IT_number 12
_cell_length_a 11.4592
_cell_length_b 7.1463
_cell_length_c 9.0319
_cell_angle_alpha 90.00
_cell_angle_beta 105.28
_cell_angle_gamma 90.00
loop_
_space_group_symop_operation_xyz
'x,y,z'
'-x,-y,-z'
'-x,y,-z'
'x,-y,z'
'x+1/2,y+1/2,z'
'-x+1/2,-y+1/2,-z'
'-x+1/2,y+1/2,-z'
'x+1/2,-y+1/2,z'
loop_
_atom_site_label
_atom_site_fract_x
_atom_site_fract_y
_atom_site_fract_z
La1 0.1251 0.0000 0.4147
La2 0.1785 0.2674 0.7951
Ce1 0.0000 0.0000 0.0000
Sm1 0.0894 0.5000 0.1678
Er1 0.0000 0.5000 0.5000
# ΔH_f (0 K) in kJ/mol of formula units: 202
# Raw total energy in eV per atom: -4.741

no.,density of states at the Fermi level (states/eV per cell)
1,18.85
2,39.04
3,30.86
4,0.91
5,7.64
6,43.99